Computed, not measured: crystalline CrAuIN2 at its relaxed geometry at the GGA-PBE level of DFT.

Lattice parameters (Å, degrees): 4.0243 4.0243 8.0027 90.00 90.00 90.00
Sites, in units of the cell vectors:
I  0.0000  0.0000  0.5000
Cr  0.5000  0.5000  0.5000
Au  0.0000  0.0000  0.0000
N  0.0000  0.5000  0.0000
N  0.5000  0.0000  0.0000

Computed properties:
offset from the most stable computed form = 858 meV/atom
symmetry = P4/mmm
theoretical density = 5.175 g/cm³
formation energy (no corrections) = 1652 meV per atom